MgTa2: relaxed, PBE.

a = 4.7486 Å, b = 4.7486 Å, c = 5.6191 Å
α = 90.00°, β = 90.00°, γ = 120.00°
Element x y z (fractional)
Mg 0.3333 0.6667 0.2500
Mg 0.6667 0.3333 0.7500
Ta 0.0000 0.0000 0.0000
Ta 0.0000 0.0000 0.5000
Ta 0.3333 0.6667 0.7500
Ta 0.6667 0.3333 0.2500

Values from the calculation:
Energy above the most stable polymorph in this dataset (meV per atom): 126
Formation energy (eV/atom): 0.38
Calculated volume (Å³ per cell): 109.7